11
Lattice="0.419 4.535 -0.863 -4.812 -1.518 -3.020 -4.380 -0.238 3.916" Properties=species:S:1:pos:R:3 comment="Ho2CuF8, optimized geometry, DFT PBE" final_energy_ev_per_atom=-5.963 m_tot_mub_per_atom=0.0909 formation_energy_uncorrected_ev_per_atom=-3.397 polymorph_energy_mev_per_atom=0.0 sg="C2/m, No. 12" pbc="T T T"
Ho -2.714 2.196 -0.236
Ho -6.058 0.584 0.269
Cu 0.000 0.000 0.000
F -2.750 3.082 1.803
F -5.758 0.481 2.470
F -0.865 3.229 -0.542
F -7.907 -0.449 0.575
F -3.014 2.300 -2.437
F -6.022 -0.302 -1.770
F -3.809 0.216 0.197
F -4.964 2.564 -0.164



11
Lattice="-4.824 -1.663 1.265 1.912 -2.763 -4.045 7.656 -8.168 11.406" Properties=species:S:1:pos:R:3 comment="Pm6Nd2Ho3, optimized geometry, DFT PBE" final_energy_ev_per_atom=-4.307 m_tot_mub_per_atom=0.0000 polymorph_energy_mev_per_atom=120.8 sg="C2/m, No. 12" pbc="T T T"
Pm 6.640 -9.375 7.956
Pm 4.333 -8.996 9.772
Pm -1.895 -3.219 0.670
Pm 0.411 -3.598 -1.146
Pm 1.979 -7.965 4.158
Pm 2.765 -4.629 4.468
Nd 1.426 -2.371 2.297
Nd 3.319 -10.223 6.328
Ho 0.000 0.000 0.000
Ho 0.600 -5.647 1.932
Ho 4.145 -6.947 6.694



5
Lattice="3.746 0.000 0.000 0.000 3.746 0.000 -1.873 -1.873 5.901" Properties=species:S:1:pos:R:3 comment="PuUPO2, optimized geometry, DFT PBE" final_energy_ev_per_atom=-10.518 m_tot_mub_per_atom=1.3982 formation_energy_uncorrected_ev_per_atom=-2.329 sg="I4mm, No. 107" pbc="T T T"
Pu 1.873 1.873 4.296
U 0.000 0.000 1.668
P 1.873 1.873 0.054
O 1.873 0.000 2.891
O 0.000 1.873 2.891



12
Lattice="3.886 0.000 0.000 0.000 7.659 0.185 -1.943 -2.306 7.919" Properties=species:S:1:pos:R:3 comment="Li3U2AgS6, optimized geometry, DFT PBE" final_energy_ev_per_atom=-5.862 m_tot_mub_per_atom=0.3333 formation_energy_uncorrected_ev_per_atom=-1.201 sg="C2/m, No. 12" pbc="T T T"
Li 1.943 3.829 0.092
Li 1.943 -0.223 5.400
Li 0.000 5.575 2.705
U 1.943 3.678 5.554
U 0.000 1.675 2.550
Ag 1.943 0.000 0.000
S 0.000 5.528 5.363
S 1.943 3.595 2.798
S 1.943 -0.175 2.741
S 1.943 -0.294 7.935
S 0.000 5.646 0.170
S 0.000 1.758 5.307



8
Lattice="-1.498 4.142 -4.430 0.513 -4.461 -4.344 -6.044 -1.405 0.729" Properties=species:S:1:pos:R:3 comment="NaCl, optimized geometry, DFT PBE" final_energy_ev_per_atom=-3.319 m_tot_mub_per_atom=0.0001 formation_energy_uncorrected_ev_per_atom=-1.736 sg="F-43m, No. 216" pbc="T T T"
Na -1.757 -0.431 -2.011
Na -4.522 -3.364 -3.819
Na -5.528 0.938 -3.862
Na -2.250 -0.590 -6.399
Cl 0.000 0.000 0.000
Cl -2.765 -2.933 -1.807
Cl -3.771 1.369 -1.851
Cl -0.492 -0.159 -4.387



4
Lattice="-2.942 -0.571 -1.135 -0.095 -2.756 1.632 -2.795 3.381 5.545" Properties=species:S:1:pos:R:3 comment="SmTc2W, optimized geometry, DFT PBE" final_energy_ev_per_atom=-9.482 m_tot_mub_per_atom=0.0000 sg="P4/mmm, No. 123" pbc="T T T"
Sm -2.916 0.027 3.021
W -1.519 -1.663 0.248
Tc -2.212 2.675 4.387
Tc -0.584 0.706 1.158



5
Lattice="5.499 0.000 0.000 0.000 5.499 0.000 0.000 0.000 4.990" Properties=species:S:1:pos:R:3 comment="CsTiSeBr2, optimized geometry, DFT PBE" final_energy_ev_per_atom=-4.351 m_tot_mub_per_atom=0.2010 formation_energy_uncorrected_ev_per_atom=-1.236 sg="P4/mmm, No. 123" pbc="T T T"
Cs 2.750 2.750 2.495
Se 0.000 0.000 2.495
Br 0.000 2.750 0.000
Br 2.750 0.000 0.000
Ti 0.000 0.000 0.000



4
Lattice="0.000 4.044 4.044 4.044 0.000 4.044 4.044 4.044 0.000" Properties=species:S:1:pos:R:3 comment="Ba2GaS, optimized geometry, DFT PBE" final_energy_ev_per_atom=-3.462 m_tot_mub_per_atom=0.6857 formation_energy_uncorrected_ev_per_atom=-0.712 polymorph_energy_mev_per_atom=107.4 sg="Fm-3m, No. 225" pbc="T T T"
S 0.000 0.000 0.000
Ba 2.022 2.022 2.022
Ba 6.066 6.066 6.066
Ga 4.044 4.044 4.044



5
Lattice="4.739 0.000 0.000 0.000 4.739 0.000 0.000 0.000 5.266" Properties=species:S:1:pos:R:3 comment="TaReAs2Br, optimized geometry, DFT PBE" final_energy_ev_per_atom=-5.753 m_tot_mub_per_atom=0.6298 formation_energy_uncorrected_ev_per_atom=1.301 polymorph_energy_mev_per_atom=27.1 sg="P4/mmm, No. 123" pbc="T T T"
Re 0.000 0.000 0.000
As 0.000 2.369 0.000
As 2.369 0.000 0.000
Br 0.000 0.000 2.633
Ta 2.369 2.369 2.633



12
Lattice="6.295 -0.604 -0.023 -0.613 6.300 0.013 -0.055 0.067 7.529" Properties=species:S:1:pos:R:3 comment="Li2NiPbCl8, optimized geometry, DFT PBE" final_energy_ev_per_atom=-3.308 m_tot_mub_per_atom=0.1543 formation_energy_uncorrected_ev_per_atom=-0.967 sg="C2/m, No. 12" pbc="T T T"
Li 3.208 2.491 5.828
Li 2.419 3.272 1.691
Ni 0.000 0.000 0.000
Pb -0.028 0.034 3.764
Cl 0.620 5.078 1.737
Cl 4.015 4.019 -0.006
Cl 5.119 0.570 1.617
Cl 5.007 0.686 5.782
Cl 1.613 1.744 7.525
Cl 0.509 5.193 5.902
Cl 3.822 3.886 3.757
Cl 1.806 1.877 3.762



18
Lattice="8.449 -0.057 -0.255 -3.254 7.797 0.255 -2.999 -3.601 7.035" Properties=species:S:1:pos:R:3 comment="Ho6InRu2, optimized geometry, DFT PBE" final_energy_ev_per_atom=-5.809 m_tot_mub_per_atom=0.0000 sg="Immm, No. 71" pbc="T T T"
Ho -0.299 2.578 5.794
Ho 2.495 1.561 1.241
Ho -2.499 -0.700 5.794
Ho 4.695 4.840 1.241
Ho 2.580 3.881 3.892
Ho -0.384 0.258 3.143
Ho -3.632 2.437 6.930
Ho 5.828 1.702 0.106
Ho 2.643 0.334 4.623
Ho -0.447 3.805 2.412
Ho -2.562 5.224 4.877
Ho 4.758 -1.085 2.158
In -3.126 2.098 3.645
In 0.000 0.000 0.000
Ru 0.406 -0.273 6.094
Ru 1.790 4.412 0.942
Ru 3.682 -2.471 4.581
Ru 1.768 -1.187 2.200



8
Lattice="5.608 0.000 0.000 0.000 5.608 0.000 2.804 2.804 3.470" Properties=species:S:1:pos:R:3 comment="Al2PtO, optimized geometry, DFT PBE" final_energy_ev_per_atom=-6.089 m_tot_mub_per_atom=0.0000 formation_energy_uncorrected_ev_per_atom=-1.468 sg="I-42d, No. 122" pbc="T T T"
O 2.804 2.804 0.000
O 2.804 5.608 1.735
Al 3.769 1.402 0.867
Al 1.838 4.206 0.867
Al 4.206 4.642 2.602
Al 7.010 6.573 2.602
Pt 0.000 0.000 0.000
Pt 5.608 2.804 1.735